[1]
A relaxed In2HgCl crystal, computed with GGA-PBE.

Results
DOS at the Fermi energy (states/eV/atom): 0.275
Relative energy among the computed polymorphs (meV per atom): 42
Energy relative to the elements, uncorrected (eV/atom): -0.33

Lattice parameters (Å, degrees): 3.7715 3.7715 27.6479 90.00 90.00 120.00
Space group R-3m (No. 166, hexagonal axes)
One atom of each set of equivalent atoms:
In1 0.0000 0.0000 0.2466
Hg1 0.0000 0.0000 0.0000
Cl1 0.0000 0.0000 0.5000

***

[2]
A relaxed In2GaSn6 crystal, computed with GGA-PBE.

Results
DOS at the Fermi energy (states/eV/atom): 0.652
ΔH_f (0 K) (meV per atom): 57

Lattice parameters (Å, degrees): 9.4391 9.4391 3.1522 90.00 90.00 120.00
Space group P6/mmm (No. 191)
One atom of each set of equivalent atoms:
In1 0.3333 0.6667 0.0000
Ga1 0.0000 0.0000 0.0000
Sn1 0.0000 0.3297 0.5000

***

Among the records above, which one has the lowest DOS at the Fermi energy?
In2HgCl

***

What is the DOS at the Fermi energy in the first record?
0.275 states/eV/atom

***

What is the DOS at the Fermi energy in the first record?
0.275 states/eV/atom